[1]
SiRhCl2 | PBE | relaxed

It has space group Cm (No. 8), with a = 5.483 Å, b = 3.645 Å, c = 8.498 Å, α = 90.00°, β = 93.58° and γ = 90.00°. The inequivalent atoms are Si at (0.000, 0.000, 0.000), Rh at (0.146, 0.500, 0.151), Cl at (0.000, 0.000, 0.761) and Cl at (0.317, 0.000, 0.354).

The crystal system is monoclinic. Its total energy is -4.6945 eV/atom. The uncorrected formation energy is -0.58 eV/atom.

***

[2]
SiRhCl2 | PBE | relaxed

It has space group R-3m (No. 166, hexagonal axes), with a = 3.0814 Å, b = 3.0814 Å, c = 26.1341 Å, α = 90.00°, β = 90.00° and γ = 120.00°. The inequivalent atoms are Si at (0.0000, 0.0000, 0.0000), Rh at (0.0000, 0.0000, 0.5000) and Cl at (0.0000, 0.0000, 0.4125).

The crystal system is trigonal. Its total energy is -3.8462 eV/atom. The uncorrected formation energy is 0.27 eV/atom.

***

[3]
SiRhCl | PBE | relaxed

It has space group F-43m (No. 216), with a = 5.951 Å, b = 5.951 Å, c = 5.951 Å, α = 90.00°, β = 90.00° and γ = 90.00°. The inequivalent atoms are Si at (0.000, 0.000, 0.000), Rh at (0.250, 0.250, 0.750) and Cl at (0.000, 0.000, 0.500).

The crystal system is cubic. Its total energy is -4.8535 eV/atom. The uncorrected formation energy is 0.02 eV/atom.